Version w
## TcIr2W (PBEsol)

Data for crystalline TcIr2W at its relaxed geometry.

- magnetization (μB/f.u.) = 0.000
- theoretical density (g/cm3) = 19.3
- V (Å³ per atom) = 14.31

abc: 3.842 3.842 3.879
angles: 90.00 90.00 90.00
Fractional coordinates of all 4 atoms:
Tc  0.500  0.500  0.500
W  0.000  0.000  0.500
Ir  0.000  0.500  0.000
Ir  0.500  0.000  0.000

***

Version x
## TcIr2W (PBEsol)

Data for crystalline TcIr2W at its relaxed geometry.

- magnetization (μB/f.u.) = 0.000
- theoretical density (g/cm3) = 19.3
- V (Å³ per atom) = 14.30

abc: 2.732 4.382 4.779
angles: 90.00 90.00 90.00
Fractional coordinates of all 4 atoms:
Ir  0.000  0.500  0.700
Ir  0.000  0.000  0.042
W  0.500  0.500  0.211
Tc  0.500  0.000  0.546

***

Version y
## TcIr2W (PBEsol)

Data for crystalline TcIr2W at its relaxed geometry.

- magnetization (μB/f.u.) = 0.000
- theoretical density (g/cm3) = 19.3
- V (Å³ per atom) = 14.34

abc: 2.720 3.873 5.445
angles: 90.00 90.00 90.00
Fractional coordinates of all 4 atoms:
W  0.500  0.500  0.500
Ir  0.000  0.000  0.245
Ir  0.000  0.000  0.755
Tc  0.500  0.500  0.000

***

Which structure is most stable, and how do the rest compare? From most to least stable: version x, version w, version y.

***

Version w
## YTc2Ir (PBEsol)

Data for crystalline YTc2Ir at its relaxed geometry.

- magnetization (μB/f.u.) = 0.000
- theoretical density (g/cm3) = 12.3
- V (Å³ per atom) = 16.06

abc: 2.778 5.011 5.011
angles: 112.94 90.00 90.00
Fractional coordinates of all 4 atoms:
Tc  0.000  0.000  0.500
Tc  0.000  0.500  0.000
Y  0.500  0.000  0.000
Ir  0.500  0.500  0.500

***

Version x
## YTc2Ir (PBEsol)

Data for crystalline YTc2Ir at its relaxed geometry.

- magnetization (μB/f.u.) = 0.000
- theoretical density (g/cm3) = 12.1
- V (Å³ per atom) = 16.41

abc: 3.431 4.293 5.235
angles: 114.20 109.13 90.00
Fractional coordinates of all 4 atoms:
Tc  0.748  0.748  0.495
Tc  0.252  0.252  0.505
Ir  0.000  0.500  0.000
Y  0.500  0.000  0.000

***

Which structure is most stable, and how do the rest compare? From most to least stable: version x, version w.